A plane-wave DFT calculation with PBE-GGA was carried out for an optimized crystal structure of Er4TlTe2P.

Calculated values
Density: 8.84 g/cm³
Electronic total energy: -41.08 eV per cell
ΔE_f (raw): -1.0959 eV per atom

Unit cell a=7.435 b=4.145 c=7.446 alpha=90.00 beta=108.30 gamma=90.00
Space group P2/m (No. 10)
Asymmetric unit:
Er 0.227 0.000 0.217 x2
Er 0.243 0.500 0.767 x2
Tl 0.500 0.000 0.000 x1
Te 0.000 0.000 0.500 x1
Te 0.500 0.500 0.500 x1
P 0.000 0.500 0.000 x1